Model A:
{"formula": "YZn6Au6", "functional": "PBE", "state": "relaxed", "dos_ef_per_ev_cell": 4.4, "cell": [[5.330, -0.113, 0.000], [-2.566, 4.673, 0.000], [0.000, 0.000, 9.090]], "species": ["Y", "Zn", "Zn", "Zn", "Zn", "Zn", "Zn", "Au", "Au", "Au", "Au", "Au", "Au"], "fractional_positions": [[0.000, 0.000, 0.000], [0.500, 0.000, 0.251], [0.000, 0.500, 0.251], [0.500, 0.500, 0.251], [0.000, 0.500, 0.749], [0.500, 0.000, 0.749], [0.500, 0.500, 0.749], [0.000, 0.000, 0.335], [0.000, 0.000, 0.665], [0.667, 0.333, 0.000], [0.333, 0.667, 0.000], [0.667, 0.333, 0.500], [0.333, 0.667, 0.500]]}

Model B:
{"formula": "YZn6Au6", "functional": "PBE", "state": "relaxed", "dos_ef_per_ev_cell": 3.9, "cell": [[-1.146, 5.138, 0.002], [-6.948, 1.146, 0.039], [-0.747, 2.527, 6.530]], "species": ["Y", "Zn", "Zn", "Zn", "Zn", "Zn", "Zn", "Au", "Au", "Au", "Au", "Au", "Au"], "fractional_positions": [[0.000, 0.000, 0.000], [0.000, 0.500, 0.000], [0.500, 0.500, 0.000], [0.000, 0.000, 0.500], [0.500, 0.000, 0.500], [0.500, 0.757, 0.243], [0.500, 0.243, 0.757], [0.338, 0.662, 0.662], [0.662, 0.338, 0.338], [0.000, 0.335, 0.665], [0.000, 0.665, 0.335], [0.326, 0.174, 0.174], [0.674, 0.826, 0.826]]}

Of them, model A has the highest stability.

Model A:
{"formula": "Y2ZrAu", "functional": "PBE", "state": "relaxed", "dos_ef_per_ev_cell": 2.9, "cell": [[-2.548, -2.363, 0.123], [1.740, -1.749, 2.451], [-3.870, 4.482, 5.945]], "species": ["Au", "Y", "Y", "Zr"], "fractional_positions": [[0.500, 0.500, 0.750], [0.000, 0.000, 0.978], [0.000, 0.000, 0.522], [0.500, 0.500, 0.250]]}

Model B:
{"formula": "Y2ZrAu", "functional": "PBE", "state": "relaxed", "dos_ef_per_ev_cell": 7.2, "cell": [[-4.291, 2.843, -0.024], [-4.475, -2.082, 1.462], [-2.170, 1.423, 4.446]], "species": ["Au", "Y", "Y", "Zr"], "fractional_positions": [[0.500, 0.500, 0.500], [0.000, 0.000, 0.000], [0.250, 0.250, 0.250], [0.750, 0.750, 0.750]]}

Of them, model A has the highest stability.

Model A:
{"formula": "Y2ZrAu", "functional": "PBE", "state": "relaxed", "dos_ef_per_ev_cell": 3.0, "cell": [[0.000, 3.685, 3.685], [3.685, 0.000, 3.685], [3.685, 3.685, 0.000]], "species": ["Y", "Y", "Au", "Zr"], "fractional_positions": [[0.250, 0.250, 0.250], [0.750, 0.750, 0.750], [0.500, 0.500, 0.500], [0.000, 0.000, 0.000]]}

Model B:
{"formula": "Y2ZrAu", "functional": "PBE", "state": "relaxed", "dos_ef_per_ev_cell": 6.7, "cell": [[-5.885, 0.786, 0.506], [-3.477, -3.274, -3.564], [4.569, -0.994, 3.695]], "species": ["Au", "Y", "Y", "Zr"], "fractional_positions": [[0.750, 0.250, 0.500], [0.000, 0.000, 0.000], [0.250, 0.750, 0.500], [0.500, 0.500, 0.000]]}

Of them, model B has the highest stability.

Model A:
{"formula": "YZrAu", "functional": "PBE", "state": "relaxed", "dos_ef_per_ev_cell": 3.8, "cell": [[-0.776, 4.516, 1.365], [-0.862, -1.314, -4.515], [-3.504, -0.881, 0.925]], "species": ["Au", "Y", "Zr"], "fractional_positions": [[0.000, 0.000, 0.893], [0.667, 0.333, 0.318], [0.333, 0.667, 0.789]]}

Model B:
{"formula": "YZrAu", "functional": "PBE", "state": "relaxed", "dos_ef_per_ev_cell": 8.2, "cell": [[7.491, 0.000, 0.000], [0.000, 4.715, 0.000], [0.000, 0.000, 8.246]], "species": ["Y", "Y", "Y", "Y", "Au", "Au", "Au", "Au", "Zr", "Zr", "Zr", "Zr"], "fractional_positions": [[0.020, 0.250, 0.825], [0.480, 0.750, 0.325], [0.980, 0.750, 0.175], [0.520, 0.250, 0.675], [0.779, 0.250, 0.397], [0.721, 0.750, 0.897], [0.221, 0.750, 0.603], [0.279, 0.250, 0.103], [0.150, 0.250, 0.421], [0.350, 0.750, 0.921], [0.850, 0.750, 0.579], [0.650, 0.250, 0.079]]}

Of them, model B has the highest stability.

Model A:
{"formula": "YZr2Au", "functional": "PBE", "state": "relaxed", "dos_ef_per_ev_cell": 7.1, "cell": [[-2.591, 2.215, -1.133], [-2.099, -0.249, 4.312], [2.850, 4.166, 1.628]], "species": ["Au", "Y", "Zr", "Zr"], "fractional_positions": [[0.500, 0.000, 0.500], [0.000, 0.500, 0.500], [0.000, 0.000, 0.000], [0.500, 0.500, 0.000]]}

Model B:
{"formula": "YZr2Au", "functional": "PBE", "state": "relaxed", "dos_ef_per_ev_cell": 5.9, "cell": [[-4.095, 3.177, -0.899], [-0.858, -5.753, -2.053], [-1.948, -1.289, 2.279]], "species": ["Au", "Y", "Zr", "Zr"], "fractional_positions": [[0.000, 0.500, 0.500], [0.500, 0.500, 0.000], [0.000, 0.000, 0.000], [0.500, 0.000, 0.500]]}

Model C:
{"formula": "YZr2Au", "functional": "PBE", "state": "relaxed", "dos_ef_per_ev_cell": 11.8, "cell": [[8.258, 0.000, 0.000], [0.000, 8.258, 0.000], [4.129, 4.129, 2.957]], "species": ["Y", "Y", "Au", "Au", "Zr", "Zr", "Zr", "Zr"], "fractional_positions": [[0.500, 0.500, 0.000], [0.250, 0.750, 0.500], [0.000, 0.000, 0.000], [0.750, 0.250, 0.500], [0.672, 0.125, 0.250], [0.078, 0.625, 0.250], [0.375, 0.328, 0.750], [0.875, 0.922, 0.750]]}

Model D:
{"formula": "YZr2Au", "functional": "PBE", "state": "relaxed", "dos_ef_per_ev_cell": 6.1, "cell": [[-4.688, 1.404, -2.682], [-4.026, -3.785, 0.780], [3.376, 2.757, 3.485]], "species": ["Au", "Y", "Zr", "Zr"], "fractional_positions": [[0.500, 0.500, 0.000], [0.750, 0.250, 0.500], [0.000, 0.000, 0.000], [0.250, 0.750, 0.500]]}

Of them, model A has the highest stability.

Model A:
{"formula": "Y2ZrAu2", "functional": "PBE", "state": "relaxed", "dos_ef_per_ev_cell": 7.1, "cell": [[-8.037, -2.117, 0.511], [1.073, -2.149, 7.973], [-0.786, 3.221, 0.974]], "species": ["Y", "Y", "Y", "Y", "Au", "Au", "Au", "Au", "Zr", "Zr"], "fractional_positions": [[0.349, 0.849, 0.000], [0.849, 0.651, 0.000], [0.651, 0.151, 0.000], [0.151, 0.349, 0.000], [0.147, 0.647, 0.500], [0.647, 0.853, 0.500], [0.853, 0.353, 0.500], [0.353, 0.147, 0.500], [0.000, 0.000, 0.000], [0.500, 0.500, 0.000]]}

Model B:
{"formula": "Y2ZrAu2", "functional": "PBE", "state": "relaxed", "dos_ef_per_ev_cell": 11.2, "cell": [[-7.836, -0.715, -1.706], [0.085, -7.557, 2.777], [-0.853, 1.239, 3.399]], "species": ["Y", "Y", "Y", "Y", "Au", "Au", "Au", "Au", "Zr", "Zr"], "fractional_positions": [[0.167, 0.667, 0.500], [0.667, 0.833, 0.500], [0.833, 0.333, 0.500], [0.333, 0.167, 0.500], [0.367, 0.867, 0.000], [0.867, 0.633, 0.000], [0.633, 0.133, 0.000], [0.133, 0.367, 0.000], [0.000, 0.000, 0.000], [0.500, 0.500, 0.000]]}

Of them, model B has the highest stability.

Model A:
{"formula": "YZr2Au2", "functional": "PBE", "state": "relaxed", "dos_ef_per_ev_cell": 8.2, "cell": [[7.971, 0.000, 0.000], [0.000, 7.971, 0.000], [0.000, 0.000, 3.530]], "species": ["Y", "Y", "Au", "Au", "Au", "Au", "Zr", "Zr", "Zr", "Zr"], "fractional_positions": [[0.000, 0.000, 0.000], [0.500, 0.500, 0.000], [0.372, 0.872, 0.000], [0.872, 0.628, 0.000], [0.628, 0.128, 0.000], [0.128, 0.372, 0.000], [0.168, 0.668, 0.500], [0.668, 0.832, 0.500], [0.832, 0.332, 0.500], [0.332, 0.168, 0.500]]}

Model B:
{"formula": "YZr2Au2", "functional": "PBE", "state": "relaxed", "dos_ef_per_ev_cell": 7.4, "cell": [[-3.628, -0.427, 1.889], [1.578, -2.977, 2.359], [0.856, 3.000, 6.798]], "species": ["Y", "Au", "Au", "Zr", "Zr"], "fractional_positions": [[0.000, 0.000, 0.000], [0.401, 0.401, 0.198], [0.599, 0.599, 0.802], [0.750, 0.250, 0.500], [0.250, 0.750, 0.500]]}

Of them, model A has the highest stability.

Model A:
{"formula": "Zn2Au3", "functional": "PBE", "state": "relaxed", "dos_ef_per_ev_cell": 1.4, "cell": [[5.458, 0.035, 0.000], [-3.001, 4.558, 0.000], [1.228, 2.297, 6.705]], "species": ["Au", "Au", "Au", "Au", "Au", "Au", "Zn", "Zn", "Zn", "Zn"], "fractional_positions": [[0.637, 0.738, 0.794], [0.532, 0.430, 0.206], [0.180, 0.782, 0.706], [0.488, 0.887, 0.294], [0.072, 0.072, 0.000], [0.822, 0.322, 0.500], [0.648, 0.209, 0.902], [0.111, 0.550, 0.098], [0.300, 0.361, 0.598], [0.959, 0.898, 0.402]]}

Model B:
{"formula": "Zn2Au3", "functional": "PBE", "state": "relaxed", "dos_ef_per_ev_cell": 2.9, "cell": [[7.595, 0.000, 0.000], [3.797, 6.577, 0.000], [3.797, 2.192, 3.441]], "species": ["Zn", "Zn", "Zn", "Zn", "Au", "Au", "Au", "Au", "Au", "Au"], "fractional_positions": [[0.878, 0.878, 0.367], [0.378, 0.378, 0.867], [0.122, 0.122, 0.633], [0.622, 0.622, 0.133], [0.061, 0.750, 0.750], [0.750, 0.439, 0.750], [0.439, 0.061, 0.750], [0.250, 0.561, 0.250], [0.561, 0.939, 0.250], [0.939, 0.250, 0.250]]}

Of them, model A has the highest stability.

Model A:
{"formula": "Zn2Au3", "functional": "PBE", "state": "relaxed", "dos_ef_per_ev_cell": 5.7, "cell": [[-5.160, -3.837, -2.198], [2.535, -5.454, 3.568], [-3.998, 1.998, 5.896]], "species": ["Zn", "Zn", "Zn", "Zn", "Zn", "Zn", "Zn", "Zn", "Au", "Au", "Au", "Au", "Au", "Au", "Au", "Au", "Au", "Au", "Au", "Au"], "fractional_positions": [[0.201, 0.883, 0.138], [0.299, 0.383, 0.362], [0.201, 0.617, 0.862], [0.299, 0.117, 0.638], [0.799, 0.117, 0.862], [0.701, 0.617, 0.638], [0.799, 0.383, 0.138], [0.701, 0.883, 0.362], [0.489, 0.877, 0.845], [0.011, 0.377, 0.655], [0.489, 0.623, 0.155], [0.011, 0.123, 0.345], [0.511, 0.123, 0.155], [0.989, 0.623, 0.345], [0.511, 0.377, 0.845], [0.989, 0.877, 0.655], [0.862, 0.750, 0.000], [0.638, 0.250, 0.500], [0.138, 0.250, 0.000], [0.362, 0.750, 0.500]]}

Model B:
{"formula": "Zn2Au3", "functional": "PBE", "state": "relaxed", "dos_ef_per_ev_cell": 1.6, "cell": [[-0.657, -2.152, -3.761], [4.079, 0.669, 1.459], [-0.203, -4.690, 2.719]], "species": ["Au", "Au", "Au", "Zn", "Zn"], "fractional_positions": [[0.000, 0.000, 0.000], [0.667, 0.333, 0.658], [0.333, 0.667, 0.342], [0.667, 0.333, 0.173], [0.333, 0.667, 0.827]]}

Of them, model A has the highest stability.

Model A:
{"formula": "Zn3Au2", "functional": "PBE", "state": "relaxed", "dos_ef_per_ev_cell": 1.0, "cell": [[-1.136, 0.728, -5.042], [-3.513, -3.060, -2.352], [-6.766, 3.800, -0.628]], "species": ["Zn", "Zn", "Zn", "Zn", "Zn", "Zn", "Au", "Au", "Au", "Au"], "fractional_positions": [[0.249, 0.750, 0.750], [0.750, 0.251, 0.750], [0.251, 0.249, 0.750], [0.250, 0.749, 0.250], [0.749, 0.751, 0.250], [0.751, 0.250, 0.250], [0.814, 0.814, 0.557], [0.314, 0.314, 0.057], [0.186, 0.186, 0.443], [0.686, 0.686, 0.943]]}

Model B:
{"formula": "Zn3Au2", "functional": "PBE", "state": "relaxed", "dos_ef_per_ev_cell": 1.1, "cell": [[11.065, -1.462, 0.011], [11.065, 1.462, 0.011], [10.869, 0.000, 2.535]], "species": ["Zn", "Zn", "Zn", "Au", "Au"], "fractional_positions": [[0.000, 0.000, 0.000], [0.199, 0.199, 0.199], [0.801, 0.801, 0.801], [0.400, 0.400, 0.400], [0.600, 0.600, 0.600]]}

Of them, model A has the highest stability.

Model A:
{"formula": "Zn2Au5", "functional": "PBE", "state": "relaxed", "dos_ef_per_ev_cell": 2.7, "cell": [[-0.996, -1.225, 4.617], [7.268, 0.901, 1.807], [-1.087, 6.807, -1.007]], "species": ["Zn", "Zn", "Zn", "Zn", "Au", "Au", "Au", "Au", "Au", "Au", "Au", "Au", "Au", "Au"], "fractional_positions": [[0.231, 0.398, 0.840], [0.391, 0.102, 0.160], [0.769, 0.602, 0.160], [0.609, 0.898, 0.840], [0.313, 0.455, 0.254], [0.059, 0.045, 0.746], [0.112, 0.680, 0.566], [0.546, 0.820, 0.434], [0.888, 0.320, 0.434], [0.454, 0.180, 0.566], [0.941, 0.955, 0.254], [0.687, 0.545, 0.746], [0.782, 0.250, 0.000], [0.218, 0.750, 0.000]]}

Model B:
{"formula": "Zn2Au5", "functional": "PBE", "state": "relaxed", "dos_ef_per_ev_cell": 3.2, "cell": [[1.802, -1.755, -5.019], [0.881, -6.308, 2.521], [-7.291, 2.553, -0.370]], "species": ["Zn", "Zn", "Zn", "Zn", "Au", "Au", "Au", "Au", "Au", "Au", "Au", "Au", "Au", "Au"], "fractional_positions": [[0.378, 0.652, 0.756], [0.622, 0.348, 0.244], [0.878, 0.104, 0.756], [0.122, 0.896, 0.244], [0.088, 0.247, 0.176], [0.912, 0.753, 0.824], [0.588, 0.929, 0.176], [0.412, 0.071, 0.824], [0.480, 0.730, 0.461], [0.020, 0.270, 0.539], [0.520, 0.270, 0.539], [0.980, 0.730, 0.461], [0.750, 0.500, 0.000], [0.250, 0.500, 0.000]]}

Of them, model A has the highest stability.